Computed, not measured: a relaxed CsRb2V2S7 crystal at the PBE level of DFT.

Values from the calculation:
ΔE_f (raw) ... -0.85 eV/atom
Electronic total energy ... -60.118 eV/cell

Geometry as extended XYZ:
```
12
Lattice="6.615 0.000 0.000 3.308 5.729 0.000 3.308 1.910 11.099" Properties=species:S:1:pos:R:3 pbc="T T T"
S 5.483 1.675 2.871
S 5.324 5.872 2.871
S 9.039 3.728 8.228
S 5.483 5.964 8.228
S 5.324 1.766 8.228
S 0.000 0.000 0.000
S 9.039 3.911 2.871
Cs 6.615 3.819 5.550
Rb 6.615 3.819 10.733
Rb 6.615 3.819 0.367
V 9.923 5.729 2.223
V 3.308 1.910 8.876
```


Computed, not measured: a relaxed Al3Sn2AuS8 crystal at the PBE level of DFT.

Values from the calculation:
ΔE_f (raw) ... -0.63 eV/atom
Electronic total energy ... -64.377 eV/cell

Geometry as extended XYZ:
```
14
Lattice="7.294 0.000 0.000 3.647 6.317 0.000 3.647 2.106 6.418" Properties=species:S:1:pos:R:3 pbc="T T T"
S 8.966 3.245 5.075
S 7.294 2.205 1.384
S 9.031 5.214 1.384
S 3.647 2.106 1.123
S 5.556 5.214 1.384
S 7.294 6.143 5.075
S 5.621 3.245 5.075
S 10.941 6.317 5.134
Al 9.057 3.193 0.033
Al 5.531 3.193 0.033
Al 7.294 6.247 0.033
Sn 7.294 4.211 3.078
Sn 3.647 2.106 3.888
Au 10.941 6.317 2.741
```


Computed, not measured: a relaxed NaHgAsO4 crystal at the PBE level of DFT.

Values from the calculation:
ΔE_f (raw) ... -1.09 eV/atom
Electronic total energy ... -67.465 eV/cell

Geometry as extended XYZ:
```
14
Lattice="-0.837 6.471 -0.490 -5.211 2.422 -2.804 -4.041 3.079 3.882" Properties=species:S:1:pos:R:3 pbc="T T T"
Na 0.000 0.000 0.000
Na -4.626 2.750 0.539
O -5.136 4.358 -1.269
O -2.381 2.986 -0.180
O -4.574 4.684 2.079
O -4.953 7.613 1.857
O -5.514 7.288 -1.491
O -7.707 8.985 0.768
O -3.184 6.178 -0.354
O -6.905 5.794 0.942
As -4.383 5.932 -1.555
As -5.706 6.040 2.143
Hg -2.020 1.540 1.941
Hg -2.439 4.775 1.696
```


Computed, not measured: a relaxed BaAcAsPd crystal at the PBE level of DFT.

Values from the calculation:
Electronic total energy ... -19.194 eV/cell

Geometry as extended XYZ:
```
4
Lattice="5.506 0.000 0.000 2.753 4.768 0.000 2.753 1.589 4.495" Properties=species:S:1:pos:R:3 pbc="T T T"
Ac 8.259 4.768 3.372
As 0.000 0.000 0.000
Pd 5.506 3.179 2.248
Ba 2.753 1.589 1.124
```


Computed, not measured: a relaxed RbHg4Au2 crystal at the PBE level of DFT.

Values from the calculation:
Relative energy among the computed polymorphs ... 0.0049 eV/atom
Electronic total energy ... -9.638 eV/cell

Geometry as extended XYZ:
```
7
Lattice="4.964 0.000 0.000 0.000 5.119 0.000 0.000 -2.559 7.921" Properties=species:S:1:pos:R:3 pbc="T T T"
Hg 0.000 0.000 5.016
Hg 2.482 0.000 2.800
Hg 0.000 2.559 2.905
Hg 2.482 2.559 5.121
Au 2.482 2.559 1.356
Au 2.482 0.000 6.565
Rb 0.000 0.000 0.000
```


Computed, not measured: a relaxed CrSi4Se crystal at the PBE level of DFT.

Values from the calculation:
ΔE_f (raw) ... 0.53 eV/atom
Electronic total energy ... -31.642 eV/cell

Geometry as extended XYZ:
```
6
Lattice="0.000 3.626 3.626 3.626 0.000 3.626 3.626 3.626 0.000" Properties=species:S:1:pos:R:3 pbc="T T T"
Se 0.000 0.000 0.000
Si 4.534 4.534 2.718
Si 2.718 2.718 2.718
Si 2.718 4.534 4.534
Si 4.534 2.718 4.534
Cr 5.440 5.440 5.440
```


Computed, not measured: a relaxed ZrTaSi crystal at the PBE level of DFT.

Values from the calculation:
ΔE_f (raw) ... -0.24 eV/atom
Electronic total energy ... -26.555 eV/cell

Geometry as extended XYZ:
```
3
Lattice="-4.361 3.310 -3.702 -4.857 0.386 -4.223 -2.254 0.777 1.840" Properties=species:S:1:pos:R:3 pbc="T T T"
Ta -4.695 1.800 -1.583
Si -9.177 3.679 -7.868
Zr -6.818 2.690 -4.560
```


Computed, not measured: a relaxed Cs2Tb3Br10 crystal at the PBE level of DFT.

Values from the calculation:
ΔE_f (raw) ... -1.80 eV/atom
Electronic total energy ... -118.618 eV/cell

Geometry as extended XYZ:
```
30
Lattice="-5.017 2.212 -5.916 8.462 -1.360 -7.686 -4.274 -12.261 4.539" Properties=species:S:1:pos:R:3 pbc="T T T"
Br -2.137 -6.131 2.270
Br 0.396 1.011 -8.365
Br -1.671 -2.326 -7.687
Br 1.816 -9.457 -7.522
Br -0.791 -5.478 -1.378
Br 0.824 -3.427 -4.745
Br -2.645 -1.951 -1.541
Br -5.486 -7.554 -3.671
Br -1.654 -7.982 -4.318
Br -1.259 0.486 -4.250
Br 4.047 -10.441 -4.892
Br 4.657 -3.854 -5.391
Br -0.038 -5.930 -7.684
Br 0.430 -11.895 -4.813
Br 0.842 -9.082 -1.375
Br -4.646 -5.024 -0.688
Br -4.876 -0.968 -4.171
Br 3.049 -0.159 -5.237
Br 1.458 -0.897 -1.572
Br -2.287 -10.512 -7.491
Tb -3.823 -8.969 -5.611
Tb 2.994 -2.440 -3.452
Tb -2.160 -3.933 0.361
Tb -1.121 0.494 -1.322
Tb 1.331 -7.476 -9.424
Tb -3.896 1.718 -4.594
Cs 2.003 -7.078 -4.346
Cs -2.896 -8.808 -0.838
Cs 2.067 -2.600 -8.225
Cs -2.832 -4.330 -4.717
```


Computed, not measured: a relaxed Na2MgH8S2O12 crystal at the PBE level of DFT.

Values from the calculation:
Electronic total energy ... -272.349 eV/cell

Geometry as extended XYZ:
```
50
Lattice="5.541 0.000 0.004 0.000 8.388 0.000 -1.995 0.000 11.048" Properties=species:S:1:pos:R:3 pbc="T T T"
Mg -0.997 4.194 5.524
Mg 0.000 0.000 0.000
O 3.664 5.950 4.707
O 3.515 4.466 7.329
O 4.512 8.115 1.805
O 0.464 6.515 8.488
O 3.313 5.700 1.433
O 2.316 6.882 6.958
O 0.880 1.756 0.821
O 0.234 2.688 9.618
O 3.002 3.039 4.719
O 3.083 1.872 2.564
O 1.461 6.066 2.964
O 2.086 2.322 8.088
O 0.094 7.743 6.401
O 0.032 3.922 3.723
O 1.092 4.839 0.877
O 3.452 0.645 4.651
O 1.542 7.232 0.808
O 2.455 3.549 10.175
O -0.966 0.272 9.247
O 2.666 6.632 10.231
O 1.231 1.506 4.094
O 2.005 1.155 10.244
O -0.117 2.438 6.345
O 0.545 5.349 6.332
H 3.193 6.455 5.420
H -0.431 1.111 9.309
H 0.661 4.666 3.495
H 0.353 1.933 5.631
H 1.972 6.723 9.528
H 2.980 5.305 7.267
H 1.351 2.261 0.107
H 2.969 5.859 4.004
H 1.575 1.665 1.524
H 2.886 3.722 7.556
H 0.578 2.529 7.048
H 0.567 3.083 3.785
H -0.337 7.916 9.020
H 3.883 0.472 2.032
H 3.977 7.277 1.743
H 2.196 6.127 10.944
Na 4.604 3.588 1.515
Na -0.060 7.782 4.012
Na 3.606 0.606 7.039
Na -1.057 4.799 9.537
S 1.830 5.954 1.506
S 1.717 2.434 9.546
S 2.714 1.760 4.022
S 0.832 6.628 7.030
```


Computed, not measured: a relaxed Mn2NbHg crystal at the PBE level of DFT.

Values from the calculation:
Electronic total energy ... -51.874 eV/cell

Geometry as extended XYZ:
```
8
Lattice="7.130 0.000 0.000 0.000 7.130 0.000 3.565 3.565 2.821" Properties=species:S:1:pos:R:3 pbc="T T T"
Nb 3.565 7.130 1.410
Nb 3.565 3.565 0.000
Hg 0.000 0.000 0.000
Hg 7.130 3.565 1.410
Mn 8.913 8.788 2.115
Mn 1.907 5.348 0.705
Mn 5.348 5.473 2.115
Mn 5.223 1.783 0.705
```


Computed, not measured: a relaxed NdYCdAu crystal at the PBE level of DFT.

Values from the calculation:
Relative energy among the computed polymorphs ... 0.0000 eV/atom
Electronic total energy ... -17.696 eV/cell

Geometry as extended XYZ:
```
4
Lattice="-3.471 -0.968 -0.920 1.303 -1.898 -2.921 0.588 -6.157 4.263" Properties=species:S:1:pos:R:3 pbc="T T T"
Cd 0.496 -5.192 3.595
Y -0.737 -5.073 0.600
Au 0.221 -2.315 1.603
Nd -1.015 -2.156 -1.420
```


Computed, not measured: a relaxed CsHAuF6 crystal at the PBE level of DFT.

Values from the calculation:
Electronic total energy ... -32.607 eV/cell

Geometry as extended XYZ:
```
9
Lattice="6.089 0.040 0.344 3.103 4.074 0.147 0.453 -0.028 6.374" Properties=species:S:1:pos:R:3 pbc="T T T"
F 5.750 3.938 4.609
F 3.935 2.850 2.239
F 5.393 0.857 3.930
F 3.146 2.420 5.007
F 7.276 1.895 3.116
F 3.436 0.295 1.693
H 6.335 1.376 3.523
Cs 6.561 1.366 6.709
Au 3.290 1.357 3.350
```


Computed, not measured: a relaxed BeCl2O crystal at the PBE level of DFT.

Values from the calculation:
Relative energy among the computed polymorphs ... 0.8728 eV/atom
ΔE_f (raw) ... 0.59 eV/atom
Electronic total energy ... -10.029 eV/cell

Geometry as extended XYZ:
```
4
Lattice="0.000 3.055 3.055 3.055 0.000 3.055 3.055 3.055 0.000" Properties=species:S:1:pos:R:3 pbc="T T T"
Cl 1.528 1.528 1.528
Cl 4.583 4.583 4.583
Be 0.000 0.000 0.000
O 3.055 3.055 3.055
```


Computed, not measured: a relaxed LiReMo2Br crystal at the PBE level of DFT.

Values from the calculation:
ΔE_f (raw) ... 1.93 eV/atom
Electronic total energy ... -28.070 eV/cell

Geometry as extended XYZ:
```
5
Lattice="4.354 0.000 0.000 0.000 4.275 0.000 0.000 0.000 4.354" Properties=species:S:1:pos:R:3 pbc="T T T"
Br 2.177 2.137 2.177
Re 0.000 2.137 0.000
Li 0.000 0.000 0.000
Mo 2.177 0.000 0.000
Mo 0.000 0.000 2.177
```


Computed, not measured: a relaxed FeHgPb2 crystal at the PBE level of DFT.

Values from the calculation:
Electronic total energy ... -14.219 eV/cell

Geometry as extended XYZ:
```
4
Lattice="-1.718 4.884 1.847 -4.959 -2.259 -0.724 0.048 -1.126 3.069" Properties=species:S:1:pos:R:3 pbc="T T T"
Fe -0.835 1.879 2.458
Hg -2.455 -1.693 1.172
Pb 0.000 0.000 0.000
Pb -3.338 1.312 0.561
```


Computed, not measured: a relaxed CePr3Y3S8 crystal at the PBE level of DFT.

Values from the calculation:
ΔE_f (raw) ... -2.02 eV/atom
Electronic total energy ... -103.024 eV/cell

Geometry as extended XYZ:
```
15
Lattice="7.991 0.000 0.000 -3.996 6.921 -0.024 0.000 -4.591 6.609" Properties=species:S:1:pos:R:3 pbc="T T T"
S 0.000 2.313 1.747
S 3.996 0.017 4.838
S 5.938 -1.115 1.720
S 1.942 3.445 4.865
S 0.000 0.081 4.877
S 2.054 -1.115 1.720
S 3.996 2.248 1.708
S -1.942 3.445 4.865
Pr -1.998 3.460 -0.012
Pr 0.000 0.000 0.000
Pr 1.998 3.460 -0.012
Y -1.998 1.165 3.293
Y 1.998 1.165 3.293
Y 3.996 -2.295 3.305
Ce 0.000 -2.295 3.305
```


Computed, not measured: a relaxed Pr2PI2 crystal at the PBE level of DFT.

Values from the calculation:
ΔE_f (raw) ... -1.53 eV/atom
Electronic total energy ... -25.729 eV/cell

Geometry as extended XYZ:
```
5
Lattice="-3.305 1.710 -2.113 -2.386 -2.444 -2.578 -8.922 -2.798 7.358" Properties=species:S:1:pos:R:3 pbc="T T T"
Pr -9.865 -2.696 4.582
Pr -4.749 -0.836 -1.915
P 0.000 0.000 0.000
I -4.134 -1.058 1.277
I -10.479 -2.474 1.390
```


Computed, not measured: a relaxed BiMoRh3 crystal at the PBE level of DFT.

Values from the calculation:
Relative energy among the computed polymorphs ... 1.0888 eV/atom
Electronic total energy ... -27.182 eV/cell

Geometry as extended XYZ:
```
5
Lattice="4.851 0.000 0.000 0.000 4.851 0.000 0.000 0.000 4.851" Properties=species:S:1:pos:R:3 pbc="T T T"
Bi 0.000 0.000 0.000
Mo 2.426 2.426 2.426
Rh 0.000 2.426 0.000
Rh 0.000 0.000 2.426
Rh 2.426 0.000 0.000
```


Computed, not measured: a relaxed Y3ErAu2 crystal at the PBE level of DFT.

Values from the calculation:
Relative energy among the computed polymorphs ... 0.0000 eV/atom
Electronic total energy ... -68.751 eV/cell

Geometry as extended XYZ:
```
12
Lattice="4.978 0.000 0.000 0.000 7.092 0.000 0.000 0.000 8.977" Properties=species:S:1:pos:R:3 pbc="T T T"
Er 2.489 3.638 5.158
Er 2.489 0.092 3.819
Y 0.000 3.456 8.321
Y 2.489 4.602 1.523
Y 0.000 7.002 0.656
Y 2.489 1.056 7.454
Y 0.000 6.034 5.987
Y 0.000 2.488 2.990
Au 2.489 1.695 1.373
Au 0.000 5.398 3.128
Au 2.489 5.241 7.604
Au 0.000 1.852 5.849
```


Computed, not measured: a relaxed Na5H2S4 crystal at the PBE level of DFT.

Values from the calculation:
Electronic total energy ... -37.564 eV/cell

Geometry as extended XYZ:
```
11
Lattice="-0.701 -3.785 -2.846 -0.203 -4.144 5.562 -6.909 2.771 2.043" Properties=species:S:1:pos:R:3 pbc="T T T"
H -2.174 -4.631 2.669
H -5.638 -0.527 2.090
Na -5.287 -1.443 -0.804
Na -0.351 -1.893 -1.423
Na -2.072 -1.861 2.986
Na -2.526 -3.714 5.563
Na -5.741 -3.297 1.773
S -3.495 -4.624 2.985
S -0.198 -0.880 1.220
S -4.318 -0.534 1.774
S -7.615 -4.277 3.539
```


no.,magnetization (μB/f.u.)
1,1.1
2,0.0
3,0.0
4,0.0
5,0.0
6,3.3
7,0.0
8,1.0
9,0.2
10,4.9
11,0.1
12,1.0
13,2.0
14,0.0
15,2.9
16,1.6
17,0.0
18,0.0
19,0.0
20,0.5